The following is a GGA-PBE calculation of an optimized crystal structure of TcNiSn2, from Alexandria.

```
TcNiSn2
1.0
1.537 0.887 9.353
-1.537 0.887 9.353
0.000 -1.775 9.353
Tc Ni Sn
1 1 2
Direct
0.000 0.000 0.000
0.500 0.500 0.500
0.096 0.096 0.096
0.904 0.904 0.904
```

Computed properties:
The calculation puts the energy above the most stable polymorph in this dataset at 0.435 eV per atom. The density of states at the Fermi level is 0.975 states/eV/atom. The formation energy is 0.523 eV per atom.

The following is a GGA-PBE calculation of an optimized crystal structure of TcNiSn2, from Alexandria.

```
TcNiSn2
1.0
0.000 3.243 3.243
3.243 0.000 3.243
3.243 3.243 0.000
Tc Ni Sn
1 1 2
Direct
0.000 0.000 0.000
0.500 0.500 0.500
0.250 0.250 0.250
0.750 0.750 0.750
```

Computed properties:
The calculation puts the energy above the most stable polymorph in this dataset at 0.094 eV per atom. The density of states at the Fermi level is 1.118 states/eV/atom. The formation energy is 0.181 eV per atom.

The following is a GGA-PBE calculation of an optimized crystal structure of TcNiSn, from Alexandria.

```
TcNiSn
1.0
3.008 0.000 0.000
-1.495 4.333 0.000
-0.004 -0.726 7.288
Tc Ni Sn
2 2 2
Direct
0.000 0.000 0.000
0.254 0.503 0.860
0.220 0.439 0.503
0.480 0.959 0.320
0.743 0.483 0.201
0.953 0.907 0.624
```

Computed properties:
The calculation puts the energy above the most stable polymorph in this dataset at 0.099 eV per atom. The density of states at the Fermi level is 0.948 states/eV/atom. The formation energy is 0.090 eV per atom.

The following is a GGA-PBE calculation of an optimized crystal structure of TcNiSn, from Alexandria.

```
TcNiSn
1.0
4.021 -1.942 0.000
4.021 1.942 0.000
-1.991 0.000 6.290
Tc Ni Sn
2 2 2
Direct
0.000 0.000 0.000
0.724 0.724 0.110
0.197 0.197 0.388
0.893 0.893 0.572
0.251 0.251 0.783
0.493 0.493 0.354
```

Computed properties:
The calculation puts the energy above the most stable polymorph in this dataset at 0.048 eV per atom. The density of states at the Fermi level is 0.643 states/eV/atom. The formation energy is 0.039 eV per atom.

The following is a GGA-PBE calculation of an optimized crystal structure of TcNiSn, from Alexandria.

```
TcNiSn
1.0
4.190 -2.027 0.000
4.190 2.027 0.000
-1.225 0.000 5.506
Tc Ni Sn
2 2 2
Direct
0.000 0.000 0.000
0.688 0.688 0.875
0.030 0.030 0.525
0.328 0.328 0.208
0.357 0.357 0.696
0.650 0.650 0.334
```

Computed properties:
The calculation puts the energy above the most stable polymorph in this dataset at 0.090 eV per atom. The density of states at the Fermi level is 0.570 states/eV/atom. The formation energy is 0.081 eV per atom.

The following is a GGA-PBE calculation of an optimized crystal structure of Tc2NiSn, from Alexandria.

```
Tc2NiSn
1.0
-3.609 3.609 2.524
3.609 -3.609 2.524
3.609 3.609 -2.524
Tc Ni Sn
4 2 2
Direct
0.087 0.625 0.962
0.375 0.337 0.462
0.663 0.125 0.038
0.875 0.913 0.538
0.000 0.000 0.000
0.750 0.250 0.500
0.250 0.750 0.500
0.500 0.500 0.000
```

Computed properties:
The density of states at the Fermi level is 1.378 states/eV/atom. The formation energy is 0.613 eV per atom.

The following is a GGA-PBE calculation of an optimized crystal structure of TcNiSn2, from Alexandria.

```
TcNiSn2
1.0
4.548 0.000 0.000
0.000 4.548 0.000
0.000 0.000 3.268
Tc Ni Sn
1 1 2
Direct
0.000 0.000 0.000
0.500 0.500 0.000
0.000 0.500 0.500
0.500 0.000 0.500
```

Computed properties:
The calculation puts the energy above the most stable polymorph in this dataset at 0.000 eV per atom. The density of states at the Fermi level is 0.544 states/eV/atom. The formation energy is 0.088 eV per atom.

The following is a GGA-PBE calculation of an optimized crystal structure of TcNiSn2, from Alexandria.

```
TcNiSn2
1.0
-3.550 3.550 3.001
3.550 -3.550 3.001
3.550 3.550 -3.001
Tc Ni Sn
2 2 4
Direct
0.000 0.000 0.000
0.750 0.250 0.500
0.250 0.750 0.500
0.500 0.500 0.000
0.152 0.625 0.027
0.375 0.402 0.527
0.598 0.125 0.973
0.875 0.848 0.473
```

Computed properties:
The calculation puts the energy above the most stable polymorph in this dataset at 0.389 eV per atom. The density of states at the Fermi level is 0.463 states/eV/atom. The formation energy is 0.477 eV per atom.

The following is a GGA-PBE calculation of an optimized crystal structure of TcNiSn4, from Alexandria.

```
TcNiSn4
1.0
-3.262 3.262 5.713
3.262 -3.262 5.713
3.262 3.262 -5.713
Tc Ni Sn
2 2 8
Direct
0.250 0.250 0.000
0.750 0.750 0.000
0.000 0.000 0.000
0.500 0.500 0.000
0.032 0.532 0.824
0.208 0.032 0.500
0.292 0.792 0.824
0.468 0.292 0.500
0.532 0.708 0.500
0.708 0.208 0.176
0.792 0.968 0.500
0.968 0.468 0.176
```

Computed properties:
The density of states at the Fermi level is 0.517 states/eV/atom. The formation energy is -0.042 eV per atom.

The following is a GGA-PBE calculation of an optimized crystal structure of TcNiSn, from Alexandria.

```
TcNiSn
1.0
4.456 -1.709 0.000
4.456 1.709 0.000
-2.380 0.000 6.476
Tc Ni Sn
2 2 2
Direct
0.134 0.134 0.459
0.866 0.866 0.541
0.369 0.369 0.832
0.631 0.631 0.168
0.360 0.360 0.208
0.640 0.640 0.792
```

Computed properties:
The calculation puts the energy above the most stable polymorph in this dataset at 0.036 eV per atom. The density of states at the Fermi level is 0.480 states/eV/atom. The formation energy is 0.027 eV per atom.

The following is a GGA-PBE calculation of an optimized crystal structure of ThTcNiSn, from Alexandria.

```
ThTcNiSn
1.0
0.000 3.387 3.387
3.387 0.000 3.387
3.387 3.387 0.000
Th Tc Ni Sn
1 1 1 1
Direct
0.000 0.000 0.000
0.250 0.250 0.250
0.750 0.750 0.750
0.500 0.500 0.500
```

Computed properties:
The density of states at the Fermi level is 0.935 states/eV/atom. The formation energy is -0.162 eV per atom.

The following is a GGA-PBE calculation of an optimized crystal structure of VTcNiSn, from Alexandria.

```
VTcNiSn
1.0
0.000 3.101 3.101
3.101 0.000 3.101
3.101 3.101 0.000
V Tc Ni Sn
1 1 1 1
Direct
0.000 0.000 0.000
0.750 0.750 0.750
0.250 0.250 0.250
0.500 0.500 0.500
```

Computed properties:
The density of states at the Fermi level is 0.888 states/eV/atom. The formation energy is -0.038 eV per atom.